A relaxed structure of Zr6NO. Source: Alexandria, functional GGA-PBE.

Formation energy from raw total energies, eV per atom: -1.15
Fermi-level density of states, states/eV/atom: 0.803
Polymorph energy (0 for the lowest one), meV per atom: 0

a b c (Å): 5.6759 5.6759 10.5213
angles (deg): 90.00 90.00 120.00
Positions (direct):
Zr (0.0095, 0.3303, 0.1234)
Zr (0.0095, 0.6792, 0.3766)
Zr (0.3208, 0.3303, 0.3766)
Zr (0.3208, 0.9905, 0.1234)
Zr (0.3303, 0.0095, 0.6234)
Zr (0.3303, 0.3208, 0.8766)
Zr (0.6697, 0.6792, 0.1234)
Zr (0.6697, 0.9905, 0.3766)
Zr (0.6792, 0.0095, 0.8766)
Zr (0.6792, 0.6697, 0.6234)
Zr (0.9905, 0.3208, 0.6234)
Zr (0.9905, 0.6697, 0.8766)
N (0.0000, 0.0000, 0.0000)
N (0.0000, 0.0000, 0.5000)
O (0.3333, 0.6667, 0.2500)
O (0.6667, 0.3333, 0.7500)